Dy3FePb | PBE-GGA | optimized geometry

Results
The raw total energy comes out at -5.299 eV/atom. For the density of states at the Fermi level, the calculation gives 5.249 states/eV per cell. The calculation puts the mass density at 9.27 g/cm³. Its space-group type is Pm-3m (221).

Unit cell a=5.123 b=5.123 c=5.123 alpha=90.00 beta=90.00 gamma=90.00
Fractional positions:
Pb: 0.500 0.500 0.500
Fe: 0.000 0.000 0.000
Dy: 0.000 0.500 0.000
Dy: 0.000 0.000 0.500
Dy: 0.500 0.000 0.000